Material: Sm3UO7
Method: DFT, PBE
State: relaxed

a = 6.721 Å, b = 6.721 Å, c = 7.862 Å
α = 90.00°, β = 90.00°, γ = 109.81°
Positions (direct):
1 O 0.917 0.669 0.471
2 O 0.632 0.368 0.750
3 O 0.669 0.917 0.529
4 Sm 0.468 0.997 0.750
5 Sm 0.500 0.500 0.500
6 O 0.083 0.331 0.971
7 O 0.331 0.083 0.029
8 U 0.000 0.000 0.000
9 O 0.368 0.632 0.250
10 Sm 0.500 0.500 0.000
11 O 0.366 0.634 0.750
12 O 0.911 0.089 0.250
13 Sm 0.003 0.532 0.750
14 O 0.634 0.366 0.250
15 U 0.000 0.000 0.500
16 O 0.089 0.911 0.750
17 Sm 0.532 0.003 0.250
18 O 0.668 0.916 0.971
19 Sm 0.997 0.468 0.250
20 O 0.084 0.332 0.529
21 O 0.332 0.084 0.471
22 O 0.916 0.668 0.029

Its space group is Cmcm (63). As for the total energy: -196.073 eV per cell.

***

Material: Ac2Pm4Er5
Method: DFT, PBE
State: relaxed

a = 3.665 Å, b = 8.720 Å, c = 14.682 Å
α = 90.36°, β = 125.56°, γ = 89.12°
Positions (direct):
1 Pm 0.065 0.207 0.529
2 Pm 0.735 0.249 0.817
3 Er 0.828 0.523 0.644
4 Er 0.008 0.066 0.292
5 Er 0.172 0.477 0.356
6 Er 0.500 0.000 0.000
7 Pm 0.265 0.751 0.183
8 Ac 0.927 0.653 0.895
9 Er 0.992 0.934 0.708
10 Pm 0.935 0.793 0.471
11 Ac 0.073 0.347 0.105

Its space group is P-1 (2). As for the total energy: -49.315 eV per cell. The formation enthalpy at 0 K is 0.72 eV/f.u.

***

Material: AcCu2Au10
Method: DFT, PBE
State: relaxed

a = 5.543 Å, b = 7.272 Å, c = 7.275 Å
α = 81.30°, β = 67.07°, γ = 66.95°
Positions (direct):
1 Au 0.013 0.642 0.331
2 Au 0.647 0.358 0.332
3 Au 0.500 0.000 0.500
4 Au 0.491 0.229 0.789
5 Cu 0.000 0.500 0.000
6 Cu 0.500 0.500 0.000
7 Au 0.276 0.229 0.211
8 Au 0.987 0.358 0.669
9 Au 0.724 0.771 0.789
10 Au 0.353 0.642 0.668
11 Au 0.509 0.771 0.211
12 Ac 0.000 0.000 0.000
13 Au 0.000 0.000 0.500

Its space group is P-1 (2). As for the total energy: -48.370 eV per cell. The formation enthalpy at 0 K is -3.30 eV/f.u.

***

Material: ZnMoCl2
Method: DFT, PBE
State: relaxed

a = 3.249 Å, b = 3.249 Å, c = 10.234 Å
α = 90.00°, β = 90.00°, γ = 125.60°
Positions (direct):
1 Zn 0.500 0.500 0.750
2 Cl 0.000 0.000 0.439
3 Cl 0.000 0.000 0.061
4 Mo 0.500 0.500 0.250

Its space group is Cmmm (65). As for the total energy: -15.906 eV per cell.